# PBE AgSb, relaxed
# **SG**: Pmmm
# **Crystal system**: orthorhombic
# **Uncorrected formation energy**: 133 meV per atom
# **Magnetization**: 0.000 μB per atom
# **Energy above the most stable polymorph in this dataset**: 54 meV per atom
data_AgSb
_chemical_formula_sum 'Ag1 Sb1'
_cell_length_a 3.101
_cell_length_b 3.336
_cell_length_c 4.754
_cell_angle_alpha 90.00
_cell_angle_beta 90.06
_cell_angle_gamma 90.00
_symmetry_space_group_name_H-M 'P 1'
_symmetry_Int_Tables_number 1
_symmetry_space_group_name_Hall 'P 1'
loop_
_atom_site_label
_atom_site_type_symbol
_atom_site_fract_x
_atom_site_fract_y
_atom_site_fract_z
Sb1 Sb 0.000 0.000 0.000
Ag1 Ag 0.000 0.500 0.500